The following is a DFT calculation (PBE) of an optimized crystal structure of BiTe2IrI.

abc: 5.959 5.959 5.944
angles: 90.00 90.00 90.00
Sites, in units of the cell vectors:
I (0.000, 0.000, 0.500)
Ir (0.500, 0.500, 0.500)
Te (0.000, 0.500, 0.000)
Te (0.500, 0.000, 0.000)
Bi (0.000, 0.000, 0.000)

Calculated values
- Offset from the most stable computed form: 1137 meV/atom
- N(E_F): 7.848 states/eV/f.u.
- Space-group type: No. 123
- Magnetization: 3.37 Bohr magnetons per cell